Density functional theory data (PBE) for an optimized crystal structure of Cu2PbAu.

The structure belongs to space group P2/m (No. 10); the cell edges are 3.231, 3.466 and 6.425 Å and the angles 90.00°, 90.10° and 90.00°. The distinct sites, in fractional coordinates, are Cu at (0.000, 0.000, 0.202), Pb at (0.500, 0.500, 0.500) and Au at (0.500, 0.500, 0.000).

The total magnetization is 0.0000 μB per atom. The total energy is -3.68 eV/atom. The energy of formation comes out at 0.119 eV per atom.



Density functional theory data (PBE) for an optimized crystal structure of La6TbPm8.

The structure belongs to space group R-3 (No. 148, hexagonal axes); the cell edges are 9.3329, 9.3329 and 21.2901 Å and the angles 90.00°, 90.00° and 120.00°. The distinct sites, in fractional coordinates, are La at (0.0525, 0.2468, 0.2102), Tb at (0.0000, 0.0000, 0.5000), Pm at (0.0000, 0.0000, 0.0772) and Pm at (0.0801, 0.5643, 0.3062).

The total magnetization is 0.0000 μB per atom. The total energy is -4.71 eV/atom. The energy of formation comes out at 0.102 eV per atom.



Density functional theory data (PBE) for an optimized crystal structure of Li2DyZn9.

The structure belongs to space group P6/mmm (No. 191); the cell edges are 8.7110, 8.7110 and 2.9335 Å and the angles 90.00°, 90.00° and 120.00°. The distinct sites, in fractional coordinates, are Li at (0.3333, 0.6667, 0.0000), Dy at (0.0000, 0.0000, 0.0000), Zn at (0.0000, 0.5000, 0.0000) and Zn at (0.1812, 0.3624, 0.5000).

The total magnetization is 0.0000 μB per atom. The total energy is -1.77 eV/atom. The energy of formation comes out at -0.107 eV per atom. The calculation puts the polymorph energy (0 for the lowest one) at 0.103 eV per atom.



Density functional theory data (PBE) for an optimized crystal structure of NbTcTeI2.

The structure belongs to space group P4/mmm (No. 123); the cell edges are 6.196, 6.196 and 4.973 Å and the angles 90.00°, 90.00° and 90.00°. The distinct sites, in fractional coordinates, are Nb at (0.000, 0.000, 0.000), Tc at (0.500, 0.500, 0.000), Te at (0.500, 0.500, 0.500) and I at (0.000, 0.500, 0.500).

The total magnetization is 0.5785 μB per atom. The total energy is -3.46 eV/atom. The calculation puts the polymorph energy (0 for the lowest one) at 0.866 eV per atom.



Density functional theory data (PBE) for an optimized crystal structure of RbHg2Sb.

The structure belongs to space group I-42d (No. 122); the cell edges are 5.789, 5.789 and 20.775 Å and the angles 90.00°, 90.00° and 90.00°. The distinct sites, in fractional coordinates, are Rb at (0.000, 0.000, 0.000), Hg at (0.002, 0.750, 0.625) and Sb at (0.000, 0.000, 0.500).

The total magnetization is 0.0000 μB per atom. The total energy is -1.55 eV/atom.



Density functional theory data (PBE) for an optimized crystal structure of NaTl7Hg4.

The structure belongs to space group C2/m (No. 12); the cell edges are 13.464, 5.912 and 11.645 Å and the angles 90.00°, 125.24° and 90.00°. The distinct sites, in fractional coordinates, are Na at (0.000, 0.000, 0.000), Tl at (0.000, 0.500, 0.000), Tl at (0.076, 0.000, 0.364), Tl at (0.159, 0.500, 0.594), Tl at (0.212, 0.000, 0.910), Hg at (0.046, 0.500, 0.761) and Hg at (0.224, 0.500, 0.316).

The total magnetization is 0.0000 μB per atom. The total energy is -1.56 eV/atom. The energy of formation comes out at 0.029 eV per atom. The calculation puts the polymorph energy (0 for the lowest one) at 0.070 eV per atom.